w:
A plane-wave DFT calculation with PBE was carried out for crystalline HoBiNO at its relaxed geometry.

a = 4.5215 Å, b = 4.5215 Å, c = 7.5215 Å
α = 90.00°, β = 90.00°, γ = 90.00°
Last column: nearest neighbours and their distance in Å.
Space group P4/nmm (No. 129, origin choice 2)
Inequivalent atoms, fractional coordinates:
1 Ho 0.2500 0.7500 0.0000 [2 per cell]  4 N 2.32
2 Bi 0.2500 0.2500 0.3943 [2 per cell]  4 O 2.40
3 N 0.2500 0.2500 0.9321 [2 per cell]  4 Ho 2.32
4 O 0.2500 0.7500 0.5000 [2 per cell]  4 Bi 2.40

The calculation puts the total magnetic moment at 0.001 μB per atom.

x:
A plane-wave DFT calculation with PBE was carried out for crystalline HoBiNO at its relaxed geometry.

a = 3.6928 Å, b = 7.0557 Å, c = 5.7791 Å
α = 90.00°, β = 90.00°, γ = 90.00°
Last column: nearest neighbours and their distance in Å.
Space group Pmc2_1 (No. 26)
Inequivalent atoms, fractional coordinates:
1 Ho 0.0000 0.1409 0.0000 [2 per cell]  2 O 2.13, 2 N 2.25-2.31
2 Bi 0.5000 0.3594 0.4712 [2 per cell]  2 N 2.33, 1 O 2.36
3 N 0.0000 0.1663 0.3978 [2 per cell]  2 Ho 2.25-2.31, 2 Bi 2.33
4 O 0.5000 0.2047 0.8331 [2 per cell]  2 Ho 2.13, 1 Bi 2.36

The calculation puts the total magnetic moment at 0.001 μB per atom.

y:
A plane-wave DFT calculation with PBE was carried out for crystalline HoBiNO at its relaxed geometry.

a = 3.7857 Å, b = 6.6008 Å, c = 6.4030 Å
α = 90.00°, β = 90.00°, γ = 90.00°
Last column: nearest neighbours and their distance in Å.
Space group Pmc2_1 (No. 26)
Inequivalent atoms, fractional coordinates:
1 Ho 0.0000 0.1863 0.0000 [2 per cell]  2 O 2.09, 2 N 2.27
2 Bi 0.5000 0.3281 0.5695 [2 per cell]  2 N 2.21-2.32
3 N 0.5000 0.3648 0.9302 [2 per cell]  2 Bi 2.21-2.32, 2 Ho 2.27
4 O 0.0000 0.0646 0.3010 [2 per cell]  2 Ho 2.09

The calculation puts the total magnetic moment at 0.000 μB per atom.

Energetically preferred structure: y | next structure: +7.2 kJ/mol of atoms